DFT (GGA-PBE) results for a relaxed structure of CsBe2SiCl.

For the magnetic moment, the calculation gives 0.00 μB per formula unit. The value obtained for the final energy is -15.25 eV/cell. The calculation puts the raw formation energy at 65 meV per atom. The calculated volume is 33.11 A^3/atom.

The structure belongs to space group P4/mmm (No. 123); the cell edges are 4.3790, 4.3790 and 8.6337 Å and the angles 90.00°, 90.00° and 90.00°. The distinct sites, in fractional coordinates, are Cs at (0.0000, 0.0000, 0.0000), Be at (0.0000, 0.5000, 0.5000), Si at (0.0000, 0.0000, 0.5000) and Cl at (0.5000, 0.5000, 0.0000).